# 1
The following is a PBE-GGA calculation of an optimized crystal structure of CsTlIn4Sn2, from Alexandria via LeMat-Bulk.

Properties
Energy relative to the elements   -0.02 eV/atom

abc: 11.252 11.252 11.252
angles: 27.93 27.93 27.93
Positions (direct):
Cs (0.000, 0.000, 0.000)
Tl (0.500, 0.500, 0.500)
In (0.129, 0.129, 0.129)
In (0.406, 0.406, 0.406)
In (0.594, 0.594, 0.594)
In (0.871, 0.871, 0.871)
Sn (0.229, 0.229, 0.229)
Sn (0.771, 0.771, 0.771)



# 2
The following is a PBE-GGA calculation of an optimized crystal structure of NdSnSe2O, from Alexandria via LeMat-Bulk.

Properties
Formation energy without anion corrections   -1.663 eV per atom

abc: 3.990 3.990 15.398
angles: 90.00 90.00 90.00
Positions (direct):
Nd (0.250, 0.250, 0.080)
Nd (0.750, 0.750, 0.920)
Sn (0.250, 0.250, 0.649)
Sn (0.750, 0.750, 0.351)
Se (0.250, 0.250, 0.396)
Se (0.250, 0.250, 0.816)
Se (0.750, 0.750, 0.184)
Se (0.750, 0.750, 0.604)
O (0.250, 0.750, 0.000)
O (0.750, 0.250, 0.000)



# 3
The following is a PBE-GGA calculation of an optimized crystal structure of Pm7BiI12, from Alexandria via LeMat-Bulk.

Properties
Formation energy without anion corrections   -1.242 eV per atom

abc: 10.042 10.042 10.042
angles: 108.26 108.26 108.26
Positions (direct):
Pm (0.000, 0.000, 0.000)
Pm (0.166, 0.386, 0.458)
Pm (0.386, 0.458, 0.166)
Pm (0.458, 0.166, 0.386)
Pm (0.542, 0.834, 0.614)
Pm (0.614, 0.542, 0.834)
Pm (0.834, 0.614, 0.542)
Bi (0.500, 0.500, 0.500)
I (0.027, 0.344, 0.106)
I (0.106, 0.027, 0.344)
I (0.191, 0.731, 0.578)
I (0.269, 0.422, 0.809)
I (0.344, 0.106, 0.027)
I (0.422, 0.809, 0.269)
I (0.578, 0.191, 0.731)
I (0.656, 0.894, 0.973)
I (0.731, 0.578, 0.191)
I (0.809, 0.269, 0.422)
I (0.894, 0.973, 0.656)
I (0.973, 0.656, 0.894)



# 4
The following is a PBE-GGA calculation of an optimized crystal structure of Sn2OsW, from Alexandria via LeMat-Bulk.

Properties
Energy relative to the elements   0.67 eV/atom

abc: 6.584 6.584 6.584
angles: 90.00 90.00 90.00
Positions (direct):
Sn (0.250, 0.250, 0.250)
Sn (0.250, 0.250, 0.750)
Sn (0.250, 0.750, 0.250)
Sn (0.250, 0.750, 0.750)
Sn (0.750, 0.250, 0.250)
Sn (0.750, 0.250, 0.750)
Sn (0.750, 0.750, 0.250)
Sn (0.750, 0.750, 0.750)
Os (0.000, 0.000, 0.000)
Os (0.000, 0.500, 0.500)
Os (0.500, 0.000, 0.500)
Os (0.500, 0.500, 0.000)
W (0.000, 0.000, 0.500)
W (0.000, 0.500, 0.000)
W (0.500, 0.000, 0.000)
W (0.500, 0.500, 0.500)